Arrangement P

The following is a DFT calculation (PBE) of a relaxed structure of NbCrP2Cl.

```
NbCrP2Cl
1.0
4.853 0.000 0.000
0.000 4.853 0.000
0.000 0.000 4.744
Nb Cr P Cl
1 1 2 1
Cartesian
0.000 0.000 0.000
2.426 2.426 2.372
0.000 2.426 0.000
2.426 0.000 0.000
0.000 0.000 2.372
```

- Spin magnetization: 0.334 μB/cell
- Crystal system: tetragonal
- Calculated volume: 22.34 A^3/atom


Arrangement Q

The following is a DFT calculation (PBE) of a relaxed structure of NbCrP2Cl.

```
NbCrP2Cl
1.0
4.498 0.000 0.000
0.000 4.498 0.000
0.000 0.000 4.620
Nb Cr P Cl
1 1 2 1
Cartesian
0.000 0.000 0.000
2.249 2.249 2.310
0.000 2.249 2.310
2.249 0.000 2.310
2.249 2.249 0.000
```

- Spin magnetization: 4.516 μB/cell
- Crystal system: tetragonal
- Calculated volume: 18.69 A^3/atom


Of them, arrangement Q has the highest stability.


Arrangement P

The following is a DFT calculation (PBE) of a relaxed structure of NbCrPCl2.

```
NbCrPCl2
1.0
4.827 0.000 0.000
0.000 4.827 0.000
0.000 0.000 4.991
Nb Cr P Cl
1 1 1 2
Cartesian
0.000 0.000 0.000
2.413 2.413 2.495
0.000 0.000 2.495
0.000 2.413 0.000
2.413 0.000 0.000
```

- Spin magnetization: 4.980 μB/cell
- Crystal system: tetragonal
- Calculated volume: 23.25 A^3/atom


Arrangement Q

The following is a DFT calculation (PBE) of a relaxed structure of NbCrPCl2.

```
NbCrPCl2
1.0
4.519 0.000 0.000
0.000 4.519 0.000
0.000 0.000 5.071
Nb Cr P Cl
1 1 1 2
Cartesian
0.000 0.000 0.000
2.259 2.259 2.536
2.259 2.259 0.000
0.000 2.259 2.536
2.259 0.000 2.536
```

- Spin magnetization: 6.002 μB/cell
- Crystal system: tetragonal
- Calculated volume: 20.71 A^3/atom


Of them, arrangement P has the highest stability.


Arrangement P

The following is a DFT calculation (PBE) of a relaxed structure of Cr2NiCl2.

```
Cr2NiCl2
1.0
-1.992 1.992 4.674
1.992 -1.992 4.674
1.992 1.992 -4.674
Cr Ni Cl
2 1 2
Cartesian
1.992 0.000 2.337
0.000 1.992 2.337
0.000 0.000 0.000
0.000 0.000 3.351
0.000 0.000 5.996
```

- Spin magnetization: 2.144 μB/cell
- Crystal system: tetragonal
- Calculated volume: 14.83 A^3/atom


Arrangement Q

The following is a DFT calculation (PBE) of a relaxed structure of Cr2NiCl2.

```
Cr2NiCl2
1.0
6.870 0.000 0.000
0.000 6.870 0.000
0.000 0.000 2.738
Cr Ni Cl
4 2 4
Cartesian
1.163 2.272 0.000
2.272 5.707 0.000
4.598 1.163 0.000
5.707 4.598 0.000
0.000 0.000 1.369
3.435 3.435 1.369
0.964 4.399 1.369
2.471 0.964 1.369
4.399 5.906 1.369
5.906 2.471 1.369
```

- Spin magnetization: 0.001 μB/cell
- Crystal system: tetragonal
- Calculated volume: 12.92 A^3/atom


Of them, arrangement P has the highest stability.


Arrangement P

The following is a DFT calculation (PBE) of a relaxed structure of Cr2NiCl.

```
Cr2NiCl
1.0
0.000 3.083 3.083
3.083 0.000 3.083
3.083 3.083 0.000
Cr Ni Cl
2 1 1
Cartesian
0.000 0.000 0.000
1.542 1.542 1.542
3.083 3.083 3.083
4.625 4.625 4.625
```

- Spin magnetization: 0.339 μB/cell
- Crystal system: cubic
- Calculated volume: 14.65 A^3/atom


Arrangement Q

The following is a DFT calculation (PBE) of a relaxed structure of Cr2NiCl.

```
Cr2NiCl
1.0
-1.774 1.774 5.112
1.774 -1.774 5.112
1.774 1.774 -5.112
Cr Ni Cl
2 1 1
Cartesian
0.000 0.000 0.000
0.000 1.774 2.556
1.774 0.000 2.556
0.000 0.000 5.112
```

- Spin magnetization: 8.283 μB/cell
- Crystal system: tetragonal
- Calculated volume: 16.08 A^3/atom


Of them, arrangement P has the highest stability.